(1)
CaZn2Te PBEsol optimized geometry; E = -10.12 eV per formula unit; density of states at the Fermi level = 0.410 states/eV per atom; space-group type = Imm2 (44)
1.0
-0.066 1.787 3.873
-4.715 0.135 -0.142
2.215 -5.078 0.032
Te Zn Ca
1 2 1
direct
0.250 0.750 0.500
0.039 0.039 0.078
0.721 0.221 0.442
0.490 0.490 0.979


(2)
ZnSiO3 PBEsol optimized geometry; E = -34.26 eV per formula unit; density of states at the Fermi level = 0.000 states/eV per atom; space-group type = Ibam (72)
1.0
5.490 0.000 0.000
2.745 6.795 -0.152
2.745 0.467 6.780
O Zn Si
12 4 4
direct
0.721 0.896 0.661
0.279 0.104 0.339
0.750 0.170 0.830
0.779 0.339 0.104
0.892 0.491 0.725
0.750 0.830 0.170
0.221 0.661 0.896
0.250 0.170 0.830
0.608 0.275 0.509
0.392 0.725 0.491
0.250 0.830 0.170
0.108 0.509 0.275
0.056 0.694 0.694
0.944 0.306 0.306
0.556 0.694 0.694
0.444 0.306 0.306
0.418 0.871 0.293
0.582 0.129 0.707
0.082 0.707 0.129
0.918 0.293 0.871


(3)
La2MoBr PBEsol optimized geometry; E = -25.69 eV per formula unit; density of states at the Fermi level = 0.674 states/eV per atom; space-group type = Pm (6)
1.0
-2.235 1.127 -2.434
-3.859 -1.760 2.728
0.716 4.449 3.882
La Mo Br
2 1 1
direct
0.651 0.500 0.377
0.975 0.000 0.937
0.962 0.000 0.343
0.412 0.500 0.843


(4)
Bi2SbPb PBEsol optimized geometry; E = -16.75 eV per formula unit; density of states at the Fermi level = 0.441 states/eV per atom; space-group type = Fm-3m (225)
1.0
5.489 0.000 0.000
2.744 4.754 0.000
2.744 1.585 4.482
Bi Pb Sb
2 1 1
direct
0.250 0.250 0.250
0.750 0.750 0.750
0.500 0.500 0.500
0.000 0.000 0.000


(5)
Y3RuC PBEsol optimized geometry; density of states at the Fermi level = 0.597 states/eV per atom; ΔE_f = 1094 meV/atom; space-group type = Pm-3m (221)
1.0
-1.676 -4.818 -0.316
3.898 -1.153 -3.098
2.849 -1.258 4.052
Y Ru C
3 1 1
direct
0.500 0.000 0.000
0.000 0.000 0.500
0.000 0.500 0.000
0.000 0.000 0.000
0.500 0.500 0.500


(6)
Hg4Pb5 PBEsol optimized geometry; density of states at the Fermi level = 0.496 states/eV per atom; ΔE_f = 34 meV/atom; space-group type = I4/mmm (139)
1.0
-1.338 3.352 0.575
-6.833 -1.509 4.516
3.711 2.255 7.107
Pb Hg
5 4
direct
0.667 0.000 0.666
0.000 0.000 0.000
0.333 0.334 0.000
0.667 0.666 0.000
0.333 0.000 0.334
0.000 0.657 0.343
0.657 0.343 0.343
0.343 0.657 0.657
0.000 0.343 0.657


(7)
Ba3Ta2CdO9 PBEsol optimized geometry; E = -121.83 eV per formula unit; density of states at the Fermi level = 0.000 states/eV per atom; space-group type = P-3m1 (164)
1.0
-5.012 2.355 1.953
1.581 -5.387 1.723
3.544 2.850 5.658
O Ta Cd Ba
9 2 1 3
direct
0.648 0.824 0.314
0.000 0.500 0.000
0.176 0.824 0.314
0.500 0.500 0.000
0.500 0.000 0.000
0.824 0.648 0.686
0.824 0.176 0.686
0.352 0.176 0.686
0.176 0.352 0.314
0.333 0.667 0.167
0.667 0.333 0.833
0.000 0.000 0.500
0.333 0.667 0.662
0.667 0.333 0.338
0.000 0.000 0.000


(8)
LaTaAs2 PBEsol optimized geometry; density of states at the Fermi level = 1.042 states/eV per atom; ΔE_f = -216 meV/atom; space-group type = I-42d (122)
1.0
6.184 0.000 0.000
0.000 6.184 0.000
-3.092 -3.092 6.181
As La Ta
4 2 2
direct
0.625 0.689 0.750
0.939 0.375 0.250
0.125 0.061 0.750
0.311 0.875 0.250
0.500 0.500 0.000
0.750 0.250 0.500
0.000 0.000 0.000
0.250 0.750 0.500


(9)
SrCuP2O7 PBEsol optimized geometry; E = -79.01 eV per formula unit; space-group type = P2_1/c (14)
1.0
5.415 0.000 0.004
0.000 8.080 0.000
-0.202 0.000 12.388
O P Cu Sr
28 8 4 4
direct
0.430 0.374 0.767
0.724 0.615 0.041
0.601 0.161 0.978
0.978 0.441 0.805
0.930 0.126 0.267
0.824 0.905 0.099
0.324 0.595 0.599
0.668 0.358 0.151
0.168 0.142 0.651
0.224 0.885 0.541
0.276 0.385 0.959
0.022 0.559 0.195
0.776 0.115 0.459
0.570 0.626 0.233
0.070 0.874 0.733
0.332 0.642 0.849
0.721 0.328 0.602
0.101 0.339 0.478
0.899 0.661 0.522
0.279 0.672 0.398
0.779 0.828 0.898
0.676 0.405 0.401
0.399 0.839 0.022
0.221 0.172 0.102
0.176 0.095 0.901
0.832 0.858 0.349
0.478 0.059 0.305
0.522 0.941 0.695
0.744 0.037 0.341
0.679 0.808 0.010
0.321 0.192 0.990
0.821 0.308 0.490
0.756 0.537 0.159
0.244 0.463 0.841
0.256 0.963 0.659
0.179 0.692 0.510
0.790 0.144 0.114
0.710 0.644 0.386
0.290 0.356 0.614
0.210 0.856 0.886
0.789 0.153 0.782
0.211 0.847 0.218
0.289 0.347 0.282
0.711 0.653 0.718


(10)
La3YTa PBEsol optimized geometry; density of states at the Fermi level = 1.866 states/eV per atom; ΔE_f = 1500 meV/atom; space-group type = Pm-3m (221)
1.0
-3.406 -3.797 -2.247
2.004 -3.860 3.486
-3.931 1.322 3.724
La Y Ta
3 1 1
direct
0.000 0.500 0.000
0.500 0.000 0.000
0.000 0.000 0.500
0.000 0.000 0.000
0.500 0.500 0.500


(11)
ZnGeRh2 PBEsol optimized geometry; density of states at the Fermi level = 0.360 states/eV per atom; ΔE_f = -518 meV/atom; space-group type = Fm-3m (225)
1.0
-2.928 -1.283 -2.755
-2.936 -2.789 1.187
-4.011 1.226 0.460
Rh Zn Ge
2 1 1
direct
0.250 0.250 0.250
0.750 0.750 0.750
0.000 0.000 0.000
0.500 0.500 0.500


(12)
InHgPb2 PBEsol optimized geometry; density of states at the Fermi level = 0.441 states/eV per atom; ΔE_f = 9 meV/atom; space-group type = P2/m (10)
1.0
3.372 0.000 -0.755
0.000 4.651 0.000
-2.272 0.000 7.345
Hg Pb In
1 2 1
direct
0.500 0.500 0.000
0.768 0.000 0.754
0.232 0.000 0.246
0.000 0.500 0.500


(13)
Hf2H2Au PBEsol optimized geometry; E = -34.17 eV per formula unit; density of states at the Fermi level = 0.588 states/eV per atom; space-group type = I4/mmm (139)
1.0
3.207 0.000 0.000
0.000 3.207 0.000
-1.603 -1.603 6.114
Hf H Au
2 2 1
direct
0.355 0.355 0.710
0.645 0.645 0.290
0.250 0.750 0.500
0.750 0.250 0.500
0.000 0.000 0.000


(14)
KSrTl2 PBEsol optimized geometry; density of states at the Fermi level = 0.635 states/eV per atom; ΔE_f = -202 meV/atom; space-group type = I4/mmm (139)
1.0
5.714 0.000 0.000
-2.857 4.960 0.041
0.000 3.253 4.698
K Tl Sr
1 2 1
direct
0.000 0.000 0.000
0.750 0.500 0.750
0.250 0.500 0.250
0.500 0.000 0.500


(15)
YMnP2 PBEsol optimized geometry; density of states at the Fermi level = 0.413 states/eV per atom; ΔE_f = -355 meV/atom; space-group type = Fm-3m (225)
1.0
4.413 0.000 0.000
2.206 3.822 0.000
2.206 1.274 3.603
P Y Mn
2 1 1
direct
0.750 0.750 0.750
0.250 0.250 0.250
0.000 0.000 0.000
0.500 0.500 0.500


(16)
Nd2V2O7 PBEsol optimized geometry; E = -97.98 eV per formula unit; density of states at the Fermi level = 0.651 states/eV per atom; space-group type = Fd-3m (227)
1.0
7.190 0.000 0.000
3.595 6.227 0.000
3.595 2.076 5.871
V O Nd
4 14 4
direct
0.625 0.125 0.625
0.625 0.625 0.125
0.125 0.625 0.625
0.625 0.625 0.625
0.948 0.948 0.552
0.302 0.698 0.698
0.698 0.302 0.698
0.302 0.302 0.698
0.948 0.552 0.552
0.698 0.302 0.302
0.250 0.250 0.250
0.302 0.698 0.302
0.000 0.000 0.000
0.552 0.948 0.948
0.948 0.552 0.948
0.698 0.698 0.302
0.552 0.948 0.552
0.552 0.552 0.948
0.125 0.125 0.125
0.625 0.125 0.125
0.125 0.625 0.125
0.125 0.125 0.625


(17)
CrTe2H PBEsol optimized geometry; E = -20.42 eV per formula unit; density of states at the Fermi level = 0.110 states/eV per atom; space-group type = R-3m (166)
1.0
4.004 0.000 0.000
2.002 3.468 0.000
2.002 1.156 6.684
Te H Cr
2 1 1
direct
0.902 0.902 0.293
0.098 0.098 0.707
0.000 0.000 0.000
0.500 0.500 0.500


(18)
Be2CoRu2 PBEsol optimized geometry; density of states at the Fermi level = 0.912 states/eV per atom; ΔE_f = -150 meV/atom; space-group type = P4/mbm (127)
1.0
2.999 0.000 0.000
0.000 5.856 0.000
0.000 0.000 5.856
Be Ru Co
4 4 2
direct
0.000 0.874 0.626
0.000 0.126 0.374
0.000 0.626 0.126
0.000 0.374 0.874
0.500 0.327 0.173
0.500 0.673 0.827
0.500 0.173 0.673
0.500 0.827 0.327
0.000 0.500 0.500
0.000 0.000 0.000


(19)
CrH2Au PBEsol optimized geometry; E = -19.38 eV per formula unit; density of states at the Fermi level = 0.751 states/eV per atom; space-group type = I-42d (122)
1.0
-3.323 2.098 1.174
-1.530 -0.300 -3.793
0.403 -4.731 2.429
Au Cr H
2 2 4
direct
0.250 0.750 0.500
0.000 0.000 0.000
0.500 0.500 0.000
0.750 0.250 0.500
0.438 0.875 0.250
0.625 0.562 0.750
0.125 0.188 0.750
0.812 0.375 0.250


(20)
YCr3Br PBEsol optimized geometry; E = -34.41 eV per formula unit; density of states at the Fermi level = 1.163 states/eV per atom; space-group type = Pm-3m (221)
1.0
4.561 0.000 0.000
0.000 4.561 0.000
0.000 0.000 4.561
Cr Br Y
3 1 1
direct
0.500 0.000 0.000
0.000 0.000 0.500
0.000 0.500 0.000
0.000 0.000 0.000
0.500 0.500 0.500